No. 1
DFT (PBE-GGA) results for crystalline Ho8Cu2Rh at its relaxed geometry.

Geometry as POSCAR:
```
Ho8Cu2Rh
1.0
-1.101 -5.668 0.732
7.236 0.442 2.647
-5.438 3.141 4.487
Ho Rh Cu
8 1 2
direct
0.803 0.639 0.639
0.370 0.911 0.661
0.370 0.661 0.911
0.989 0.799 0.207
0.592 0.092 0.343
0.592 0.343 0.092
0.179 0.367 0.367
0.989 0.207 0.799
0.129 0.004 0.004
0.493 0.703 0.308
0.493 0.308 0.703
```

Computed properties:
ΔE to the lowest computed polymorph	1.28	eV per formula unit
calculated density	8.84	g/cm3
SG	Cm (8)
ΔE_f	-0.14	eV/atom
D(E_F)	14.30	states/eV/cell



No. 2
DFT (PBE-GGA) results for crystalline HoCuRh at its relaxed geometry.

Geometry as POSCAR:
```
HoCuRh
1.0
3.480 0.000 0.000
0.000 4.298 0.000
0.000 -2.149 3.722
Cu Rh Ho
1 1 1
direct
0.167 0.000 0.000
0.167 0.333 0.667
0.667 0.667 0.333
```

Computed properties:
ΔE to the lowest computed polymorph	0.26	eV per formula unit
calculated density	9.89	g/cm3
SG	P-6m2 (187)
ΔE_f	-0.49	eV/atom
D(E_F)	1.89	states/eV/cell



No. 3
DFT (PBE-GGA) results for crystalline Ho6Cu2Rh at its relaxed geometry.

Geometry as POSCAR:
```
Ho6Cu2Rh
1.0
7.767 0.309 -2.774
-3.956 6.755 -2.614
-0.030 -0.309 8.247
Ho Rh Cu
12 2 4
direct
0.569 0.744 0.825
0.185 0.738 0.923
0.296 0.623 0.326
0.815 0.738 0.553
0.185 0.262 0.447
0.704 0.377 0.674
0.080 0.256 0.825
0.704 0.030 0.326
0.815 0.262 0.077
0.431 0.256 0.175
0.920 0.744 0.175
0.296 0.970 0.674
0.000 0.000 0.000
0.000 0.500 0.500
0.500 0.378 0.878
0.352 0.000 0.352
0.648 0.000 0.648
0.500 0.622 0.122
```

Computed properties:
calculated density	9.36	g/cm3
SG	Immm (71)
ΔE_f	-0.32	eV/atom
D(E_F)	14.06	states/eV/cell



No. 4
DFT (PBE-GGA) results for crystalline HoCu2Rh4 at its relaxed geometry.

Geometry as POSCAR:
```
HoCu2Rh4
1.0
4.379 -0.002 2.337
2.025 4.672 1.466
-0.018 -0.337 5.288
Rh Cu Ho
4 2 1
direct
0.696 0.608 0.000
0.304 0.392 0.000
0.696 0.000 0.608
0.304 0.000 0.392
0.250 0.500 0.500
0.750 0.500 0.500
0.000 0.000 0.000
```

Computed properties:
calculated density	10.72	g/cm3
SG	C2/m (12)
ΔE_f	-0.21	eV/atom
D(E_F)	11.30	states/eV/cell



No. 5
DFT (PBE-GGA) results for crystalline Ho5Cu4Rh at its relaxed geometry.

Geometry as POSCAR:
```
Ho5Cu4Rh
1.0
-1.592 -1.635 -2.573
2.925 -1.638 -0.768
-4.331 -12.810 10.820
Cu Ho Rh
4 5 1
direct
0.000 0.000 0.600
0.000 0.000 0.199
0.000 0.000 0.400
0.000 0.000 0.801
0.500 0.500 0.500
0.500 0.500 0.097
0.500 0.500 0.299
0.500 0.500 0.903
0.500 0.500 0.701
0.000 0.000 0.000
```

Computed properties:
calculated density	9.58	g/cm3
SG	P4/mmm (123)
ΔE_f	-0.39	eV/atom
D(E_F)	6.38	states/eV/cell



No. 6
DFT (PBE-GGA) results for crystalline Ho6Cu5Rh at its relaxed geometry.

Geometry as POSCAR:
```
Ho6Cu5Rh
1.0
4.618 -0.028 1.539
0.037 6.901 0.012
-0.004 -0.014 7.712
Ho Cu Rh
6 5 1
direct
0.165 0.249 0.671
0.500 0.754 0.000
0.835 0.751 0.329
0.835 0.249 0.329
0.500 0.246 0.000
0.165 0.751 0.671
0.665 0.500 0.671
0.330 0.000 0.340
0.335 0.500 0.329
0.000 0.500 0.000
0.670 0.000 0.660
0.000 0.000 0.000
```

Computed properties:
calculated density	9.53	g/cm3
SG	Cmmm (65)
ΔE_f	-0.38	eV/atom
D(E_F)	7.85	states/eV/cell



No. 7
DFT (PBE-GGA) results for crystalline HoCuRh at its relaxed geometry.

Geometry as POSCAR:
```
HoCuRh
1.0
3.425 0.000 0.000
0.000 3.425 0.000
-1.712 -1.712 4.509
Rh Ho Cu
1 1 1
direct
0.272 0.272 0.543
0.947 0.947 0.894
0.632 0.632 0.263
```

Computed properties:
ΔE to the lowest computed polymorph	0.44	eV per formula unit
calculated density	10.41	g/cm3
SG	I4mm (107)
ΔE_f	-0.43	eV/atom
D(E_F)	1.67	states/eV/cell



No. 8
DFT (PBE-GGA) results for crystalline Ho2CuRh2 at its relaxed geometry.

Geometry as POSCAR:
```
Ho2CuRh2
1.0
3.807 0.004 1.619
1.381 4.790 2.026
-0.039 0.235 5.376
Rh Ho Cu
2 2 1
direct
0.000 0.233 0.267
0.000 0.767 0.733
0.706 0.794 0.294
0.294 0.206 0.706
0.500 0.500 0.000
```

Computed properties:
ΔE to the lowest computed polymorph	0.00	eV per formula unit
calculated density	10.26	g/cm3
SG	Immm (71)
ΔE_f	-0.70	eV/atom
D(E_F)	2.60	states/eV/cell



No. 9
DFT (PBE-GGA) results for crystalline Ho8Cu2Rh at its relaxed geometry.

Geometry as POSCAR:
```
Ho8Cu2Rh
1.0
-1.712 3.356 3.394
2.549 -3.663 4.908
7.003 3.832 -4.043
Ho Rh Cu
8 1 2
direct
0.200 0.325 0.399
0.967 0.211 0.935
0.333 0.021 0.667
0.590 0.444 0.181
0.667 0.979 0.333
0.800 0.675 0.601
0.033 0.789 0.065
0.410 0.556 0.819
0.500 0.000 0.000
0.815 0.275 0.630
0.185 0.725 0.370
```

Computed properties:
ΔE to the lowest computed polymorph	0.00	eV per formula unit
calculated density	9.29	g/cm3
SG	C2/m (12)
ΔE_f	-0.25	eV/atom
D(E_F)	9.01	states/eV/cell



No. 10
DFT (PBE-GGA) results for crystalline Ho3Cu2Rh2 at its relaxed geometry.

Geometry as POSCAR:
```
Ho3Cu2Rh2
1.0
-0.607 5.383 -0.331
-2.585 -4.550 1.453
5.879 -0.099 6.004
Cu Ho Rh
2 3 2
direct
0.178 0.601 0.890
0.822 0.399 0.110
0.000 0.000 0.000
0.729 0.000 0.364
0.271 0.000 0.636
0.430 0.252 0.341
0.570 0.748 0.659
```

Computed properties:
calculated density	10.03	g/cm3
SG	P-1 (2)
ΔE_f	-0.48	eV/atom
D(E_F)	4.15	states/eV/cell



No. 11
DFT (PBE-GGA) results for crystalline HoCuRh at its relaxed geometry.

Geometry as POSCAR:
```
HoCuRh
1.0
5.094 0.000 0.000
2.547 7.222 0.000
2.547 0.000 6.474
Ho Rh Cu
4 4 4
direct
0.518 0.246 0.718
0.236 0.246 0.282
0.482 0.754 0.282
0.764 0.754 0.718
0.023 0.629 0.325
0.977 0.371 0.675
0.652 0.371 0.325
0.348 0.629 0.675
0.170 0.000 0.660
0.914 0.172 0.000
0.086 0.828 0.000
0.830 0.000 0.340
```

Computed properties:
ΔE to the lowest computed polymorph	0.96	eV per formula unit
calculated density	9.24	g/cm3
SG	Fmmm (69)
ΔE_f	-0.26	eV/atom
D(E_F)	8.17	states/eV/cell



No. 12
DFT (PBE-GGA) results for crystalline Ho2Cu3Rh at its relaxed geometry.

Geometry as POSCAR:
```
Ho2Cu3Rh
1.0
-1.837 1.955 2.279
-3.411 -0.245 -2.540
-2.176 -6.141 3.516
Ho Cu Rh
2 3 1
direct
0.000 0.000 0.488
0.000 0.500 0.014
0.500 0.000 0.156
0.500 0.500 0.676
0.500 0.000 0.831
0.500 0.500 0.335
```

Computed properties:
calculated density	9.33	g/cm3
SG	Pmm2 (25)
ΔE_f	-0.39	eV/atom
D(E_F)	4.51	states/eV/cell



Please write out number 8 again, unchanged.
DFT (PBE-GGA) results for crystalline Ho2CuRh2 at its relaxed geometry.

Geometry as POSCAR:
```
Ho2CuRh2
1.0
3.807 0.004 1.619
1.381 4.790 2.026
-0.039 0.235 5.376
Rh Ho Cu
2 2 1
direct
0.000 0.233 0.267
0.000 0.767 0.733
0.706 0.794 0.294
0.294 0.206 0.706
0.500 0.500 0.000
```

Computed properties:
ΔE to the lowest computed polymorph	0.00	eV per formula unit
calculated density	10.26	g/cm3
SG	Immm (71)
ΔE_f	-0.70	eV/atom
D(E_F)	2.60	states/eV/cell



Which formula does entry 10 have? Ho3Cu2Rh2



Which of these has the highest calculated density? HoCu2Rh4